A plane-wave DFT calculation with GGA+U was carried out for a relaxed structure of AlFePdF6.

Computed properties:
Crystal system: trigonal
Calculated total energy, Ha/atom: -0.19423

Geometry as POSCAR:
```
AlFePdF6
1.0
5.338 0.000 0.000
-2.669 4.623 0.000
0.000 0.000 9.979
Al Fe Pd F
2 2 2 12
Cartesian
0.000 3.082 2.495
2.669 1.541 7.484
0.000 3.082 7.484
2.669 1.541 2.495
0.000 0.000 0.000
0.000 0.000 4.990
-0.843 1.809 1.474
-1.524 2.988 3.515
0.843 1.809 3.515
-0.681 4.449 1.474
1.988 0.174 6.464
1.145 1.635 8.505
1.524 2.988 1.474
0.681 4.449 3.515
3.350 0.174 8.505
1.825 2.814 6.464
4.193 1.635 6.464
3.512 2.814 8.505
```